[1]
Entry from Alexandria via LeMat-Bulk: a relaxed BaNiPt3 crystal (PBE).

Properties
DFT formation energy: 34 kJ/mol of formula units
volume: 108.8 Å³ per cell

Cell and atoms, written as POSCAR:
```
BaNiPt3
1.0
4.773 0.000 0.000
0.000 4.773 0.000
0.000 0.000 4.773
Ba Ni Pt
1 1 3
Direct
0.000 0.000 0.000
0.500 0.500 0.500
0.000 0.500 0.500
0.500 0.000 0.500
0.500 0.500 0.000
```

=====

[2]
Entry from Alexandria via LeMat-Bulk: a relaxed Mg2TiPt2 crystal (PBE).

Properties
DFT formation energy: -326 kJ/mol of formula units
volume: 180.1 Å³ per cell

Cell and atoms, written as POSCAR:
```
Mg2TiPt2
1.0
6.657 0.000 0.000
0.000 6.657 0.000
0.000 0.000 4.064
Mg Ti Pt
4 2 4
Direct
0.166 0.334 0.000
0.334 0.834 0.000
0.666 0.166 0.000
0.834 0.666 0.000
0.000 0.000 0.500
0.500 0.500 0.500
0.141 0.641 0.500
0.359 0.141 0.500
0.641 0.859 0.500
0.859 0.359 0.500
```

=====

[3]
Entry from Alexandria via LeMat-Bulk: a relaxed CsPdRu2O8 crystal (PBE).

Properties
uncorrected formation energy: -0.8603 eV per atom
volume: 221.0 Å³ per cell

Cell and atoms, written as POSCAR:
```
CsPdRu2O8
1.0
4.272 -3.014 0.000
4.272 3.014 0.000
-1.573 0.000 8.582
Cs Pd Ru O
1 1 2 8
Direct
0.000 0.000 0.000
0.000 0.000 0.500
0.399 0.399 0.695
0.601 0.601 0.305
0.244 0.734 0.319
0.245 0.245 0.525
0.266 0.756 0.681
0.318 0.318 0.867
0.682 0.682 0.133
0.734 0.244 0.319
0.755 0.755 0.475
0.756 0.266 0.681
```

=====

[4]
Entry from Alexandria via LeMat-Bulk: a relaxed TbHgPt crystal (PBE).

Properties
DFT formation energy: -198 kJ/mol of formula units
volume: 66.7 Å³ per cell

Cell and atoms, written as POSCAR:
```
TbHgPt
1.0
4.734 0.000 0.000
-2.367 4.100 0.000
0.000 0.000 3.435
Tb Hg Pt
1 1 1
Direct
0.000 0.000 0.000
0.667 0.333 0.500
0.333 0.667 0.500
```

=====

[5]
Entry from Alexandria via LeMat-Bulk: a relaxed Nb3TeS crystal (PBE).

Properties
uncorrected formation energy: 0.1200 eV per atom
volume: 99.8 Å³ per cell

Cell and atoms, written as POSCAR:
```
Nb3TeS
1.0
4.639 0.000 0.000
0.000 4.639 0.000
0.000 0.000 4.639
Nb Te S
3 1 1
Direct
0.000 0.000 0.500
0.000 0.500 0.000
0.500 0.000 0.000
0.500 0.500 0.500
0.000 0.000 0.000
```

=====

[6]
Entry from Alexandria via LeMat-Bulk: a relaxed Tm2ThSc crystal (PBE).

Properties
DFT formation energy: 18 kJ/mol of formula units
volume: 117.5 Å³ per cell

Cell and atoms, written as POSCAR:
```
Tm2ThSc
1.0
3.457 0.000 0.000
0.000 3.457 0.000
0.000 0.000 9.834
Tm Th Sc
2 1 1
Direct
0.000 0.000 0.242
0.000 0.000 0.758
0.500 0.500 0.500
0.500 0.500 0.000
```

=====

[7]
Entry from Alexandria via LeMat-Bulk: a relaxed Na2LiEuCl6 crystal (PBE).

Properties
uncorrected formation energy: -1.6858 eV per atom
volume: 278.8 Å³ per cell

Cell and atoms, written as POSCAR:
```
Na2LiEuCl6
1.0
0.000 5.185 5.185
5.185 0.000 5.185
5.185 5.185 0.000
Na Li Eu Cl
2 1 1 6
Direct
0.250 0.250 0.250
0.750 0.750 0.750
0.000 0.000 0.000
0.500 0.500 0.500
0.242 0.242 0.758
0.242 0.758 0.242
0.242 0.758 0.758
0.758 0.242 0.242
0.758 0.242 0.758
0.758 0.758 0.242
```

=====

[8]
Entry from Alexandria via LeMat-Bulk: a relaxed SrNiBi2 crystal (PBE).

Properties
DFT formation energy: -31 kJ/mol of formula units
volume: 537.7 Å³ per cell

Cell and atoms, written as POSCAR:
```
SrNiBi2
1.0
5.603 0.000 0.000
0.000 5.603 0.000
0.000 0.000 17.129
Sr Ni Bi
4 4 8
Direct
0.000 0.000 0.000
0.000 0.500 0.250
0.500 0.000 0.750
0.500 0.500 0.500
0.000 0.000 0.500
0.000 0.500 0.750
0.500 0.000 0.250
0.500 0.500 0.000
0.122 0.250 0.625
0.250 0.622 0.875
0.250 0.878 0.375
0.378 0.250 0.125
0.622 0.750 0.125
0.750 0.122 0.375
0.750 0.378 0.875
0.878 0.750 0.625
```

=====

no.,energy (eV per atom)
1,-5.09
2,-5.31
3,-6.22
4,-4.34
5,-7.38
6,-5.63
7,-4.28
8,-3.89